[1]
Material: CsSrP2S
Method: DFT, GGA-PBE
State: relaxed

## Properties
total magnetic moment: 0.879 μB per atom
theoretical density: 2.53 g/cm3
polymorph energy (0 for the lowest one): 0.0 meV per atom
space-group type: P4/mmm (123)
formation energy without anion corrections: 1.2 eV per formula unit

Geometry as POSCAR:
```
CsSrP2S
1.0
-2.887 5.275 -0.430
-1.255 -0.206 5.893
4.851 2.747 1.129
P Cs Sr S
2 1 1 1
Direct
0.000 0.500 0.000
0.500 0.000 0.000
0.500 0.500 0.500
0.000 0.000 0.000
0.000 0.000 0.500
```



[2]
Material: CsTaP2S
Method: DFT, GGA-PBE
State: relaxed

## Properties
total magnetic moment: 0.097 μB per atom
theoretical density: 5.52 g/cm3
polymorph energy (0 for the lowest one): 0.0 meV per atom
space-group type: P4/mmm (123)
formation energy without anion corrections: -1.4 eV per formula unit

Geometry as POSCAR:
```
CsTaP2S
1.0
4.964 0.000 0.000
0.000 4.964 0.000
0.000 0.000 4.983
P Ta S Cs
2 1 1 1
Direct
0.500 0.000 0.000
0.000 0.500 0.000
0.000 0.000 0.000
0.000 0.000 0.500
0.500 0.500 0.500
```



[3]
Material: CsTaP2S
Method: DFT, GGA-PBE
State: relaxed

## Properties
total magnetic moment: 0.005 μB per atom
theoretical density: 4.88 g/cm3
polymorph energy (0 for the lowest one): 2820.1 meV per atom
space-group type: P4/mmm (123)
formation energy without anion corrections: 12.7 eV per formula unit

Geometry as POSCAR:
```
CsTaP2S
1.0
5.272 0.000 0.000
0.000 5.272 0.000
0.000 0.000 4.991
Cs P Ta S
1 2 1 1
Direct
0.000 0.000 0.000
0.000 0.500 0.000
0.500 0.000 0.000
0.500 0.500 0.500
0.000 0.000 0.500
```



[4]
Material: CsTaP2S8
Method: DFT, GGA-PBE
State: relaxed

## Properties
total magnetic moment: 0.000 μB per atom
theoretical density: 3.23 g/cm3
space-group type: R-3 (148)
formation energy without anion corrections: -6.3 eV per formula unit

Geometry as POSCAR:
```
CsTaP2S8
1.0
-1.229 2.351 5.449
2.853 -2.097 4.918
7.921 7.016 2.130
S Ta P Cs
8 1 2 1
Direct
0.958 0.618 0.135
0.202 0.202 0.393
0.618 0.289 0.135
0.711 0.042 0.865
0.382 0.711 0.865
0.289 0.958 0.135
0.798 0.798 0.607
0.042 0.382 0.865
0.000 0.000 0.000
0.267 0.267 0.199
0.733 0.733 0.801
0.500 0.500 0.500
```



[5]
Material: CsTaPS6
Method: DFT, GGA-PBE
State: relaxed

## Properties
total magnetic moment: 0.002 μB per atom
theoretical density: 3.39 g/cm3
space-group type: P312 (149)
formation energy without anion corrections: -4.4 eV per formula unit

Geometry as POSCAR:
```
CsTaPS6
1.0
6.099 0.000 0.000
3.050 5.282 0.000
0.000 0.000 8.165
Cs S Ta P
1 6 1 1
Direct
0.000 0.000 0.000
0.614 0.022 0.335
0.364 0.614 0.335
0.614 0.364 0.665
0.364 0.022 0.665
0.022 0.614 0.665
0.022 0.364 0.335
0.667 0.667 0.500
0.333 0.333 0.500
```



[6]
Material: Cs2TbP2S6
Method: DFT, GGA-PBE
State: relaxed

## Properties
total magnetic moment: 0.000 μB per atom
theoretical density: 3.61 g/cm3
space-group type: C2/m (12)
formation energy without anion corrections: -9.8 eV per formula unit

Geometry as POSCAR:
```
Cs2TbP2S6
1.0
-3.332 5.979 1.793
-3.735 -5.528 -2.468
2.615 -0.845 7.676
S P Tb Cs
6 2 1 2
Direct
0.737 0.956 0.227
0.251 0.502 0.349
0.781 0.044 0.773
0.219 0.956 0.227
0.263 0.044 0.773
0.749 0.498 0.651
0.943 0.886 0.818
0.057 0.114 0.182
0.500 0.000 0.500
0.721 0.442 0.196
0.279 0.558 0.804
```



[7]
Material: CsTbP2S8
Method: DFT, GGA-PBE
State: relaxed

## Properties
total magnetic moment: 0.170 μB per atom
theoretical density: 3.03 g/cm3
space-group type: P-3 (147)
formation energy without anion corrections: -7.2 eV per formula unit

Geometry as POSCAR:
```
CsTbP2S8
1.0
6.245 0.000 0.000
-3.123 5.408 0.000
0.000 0.000 9.911
S Tb P Cs
8 1 2 1
Direct
0.368 0.365 0.339
0.003 0.368 0.661
0.667 0.333 0.077
0.635 0.003 0.339
0.632 0.635 0.661
0.365 0.997 0.661
0.333 0.667 0.923
0.997 0.632 0.339
0.000 0.000 0.500
0.667 0.333 0.281
0.333 0.667 0.719
0.000 0.000 0.000
```



[8]
Material: CsTcP2S
Method: DFT, GGA-PBE
State: relaxed

## Properties
total magnetic moment: 0.642 μB per atom
theoretical density: 3.36 g/cm3
polymorph energy (0 for the lowest one): 2351.6 meV per atom
space-group type: P4/mmm (123)
formation energy without anion corrections: 12.1 eV per formula unit

Geometry as POSCAR:
```
CsTcP2S
1.0
-2.575 2.901 3.963
0.616 -4.249 3.510
4.583 1.947 1.553
P S Cs Tc
2 1 1 1
Direct
0.000 0.500 0.000
0.500 0.000 0.000
0.000 0.000 0.500
0.000 0.000 0.000
0.500 0.500 0.500
```



[9]
Material: CsTcP2S
Method: DFT, GGA-PBE
State: relaxed

## Properties
total magnetic moment: 0.000 μB per atom
theoretical density: 4.69 g/cm3
polymorph energy (0 for the lowest one): 0.0 meV per atom
space-group type: P4/mmm (123)
formation energy without anion corrections: 0.4 eV per formula unit

Geometry as POSCAR:
```
CsTcP2S
1.0
-2.573 -3.353 -1.968
3.777 -1.595 -2.220
1.048 -3.203 4.085
Cs S P Tc
1 1 2 1
Direct
0.500 0.500 0.500
0.000 0.000 0.500
0.500 0.000 0.000
0.000 0.500 0.000
0.000 0.000 0.000
```



[10]
Material: CsTeP2S8
Method: DFT, GGA-PBE
State: relaxed

## Properties
total magnetic moment: 0.000 μB per atom
theoretical density: 2.82 g/cm3
space-group type: R-3 (148)
formation energy without anion corrections: -2.5 eV per formula unit

Geometry as POSCAR:
```
CsTeP2S8
1.0
6.091 0.000 0.000
3.045 5.275 0.000
3.045 1.758 10.603
Cs P S Te
1 2 8 1
Direct
0.500 0.500 0.500
0.264 0.264 0.209
0.736 0.736 0.791
0.699 0.054 0.846
0.201 0.201 0.397
0.301 0.946 0.154
0.054 0.400 0.846
0.400 0.699 0.846
0.799 0.799 0.603
0.600 0.301 0.154
0.946 0.600 0.154
0.000 0.000 0.000
```



[11]
Material: CsThP2S8
Method: DFT, GGA-PBE
State: relaxed

## Properties
total magnetic moment: 0.046 μB per atom
theoretical density: 3.28 g/cm3
space-group type: P-3 (147)
formation energy without anion corrections: -8.4 eV per formula unit

Geometry as POSCAR:
```
CsThP2S8
1.0
6.254 0.000 0.000
-3.127 5.416 0.000
0.000 0.000 10.208
S Cs P Th
8 1 2 1
Direct
0.634 0.641 0.663
0.993 0.634 0.337
0.667 0.333 0.078
0.007 0.366 0.663
0.366 0.359 0.337
0.359 0.993 0.663
0.333 0.667 0.922
0.641 0.007 0.337
0.000 0.000 0.000
0.667 0.333 0.273
0.333 0.667 0.727
0.000 0.000 0.500
```



[12]
Material: CsTiP2S8
Method: DFT, GGA-PBE
State: relaxed

## Properties
total magnetic moment: 0.000 μB per atom
theoretical density: 2.62 g/cm3
polymorph energy (0 for the lowest one): 189.5 meV per atom
space-group type: P-3 (147)
formation energy without anion corrections: -6.3 eV per formula unit

Geometry as POSCAR:
```
CsTiP2S8
1.0
6.048 0.000 0.000
-3.024 5.237 0.000
0.000 0.000 9.988
S Cs P Ti
8 1 2 1
Direct
0.003 0.338 0.635
0.662 0.665 0.635
0.333 0.667 0.896
0.997 0.662 0.365
0.665 0.003 0.365
0.667 0.333 0.104
0.335 0.997 0.635
0.338 0.335 0.365
0.000 0.000 0.000
0.333 0.667 0.696
0.667 0.333 0.304
0.000 0.000 0.500
```



[13]
Material: CsTiPS6
Method: DFT, GGA-PBE
State: relaxed

## Properties
total magnetic moment: 0.000 μB per atom
theoretical density: 2.67 g/cm3
space-group type: P312 (149)
formation energy without anion corrections: -4.1 eV per formula unit

Geometry as POSCAR:
```
CsTiPS6
1.0
5.886 0.001 0.000
2.943 5.097 0.000
0.000 0.000 8.369
S Cs P Ti
6 1 1 1
Direct
0.626 0.355 0.663
0.626 0.020 0.337
0.355 0.626 0.337
0.020 0.355 0.337
0.355 0.020 0.663
0.020 0.626 0.663
0.000 0.000 0.000
0.333 0.333 0.500
0.667 0.667 0.500
```



[14]
Material: CsTiP2S
Method: DFT, GGA-PBE
State: relaxed

## Properties
total magnetic moment: 0.000 μB per atom
theoretical density: 3.84 g/cm3
polymorph energy (0 for the lowest one): 0.0 meV per atom
space-group type: P4/mmm (123)
formation energy without anion corrections: -1.5 eV per formula unit

Geometry as POSCAR:
```
CsTiP2S
1.0
-4.359 -2.188 0.395
2.063 -4.304 -1.081
0.843 -0.808 4.825
Ti P Cs S
1 2 1 1
Direct
0.000 0.000 0.000
0.000 0.500 0.000
0.500 0.000 0.000
0.500 0.500 0.500
0.000 0.000 0.500
```



[15]
Material: CsTiPS2
Method: DFT, GGA-PBE
State: relaxed

## Properties
total magnetic moment: 0.135 μB per atom
theoretical density: 3.85 g/cm3
polymorph energy (0 for the lowest one): 0.0 meV per atom
space-group type: P4/mmm (123)
formation energy without anion corrections: -3.1 eV per formula unit

Geometry as POSCAR:
```
CsTiPS2
1.0
4.920 0.000 0.000
0.000 4.920 0.000
0.000 0.000 4.916
S Ti P Cs
2 1 1 1
Direct
0.500 0.000 0.000
0.000 0.500 0.000
0.000 0.000 0.000
0.000 0.000 0.500
0.500 0.500 0.500
```



[16]
Material: CsTiP2S
Method: DFT, GGA-PBE
State: relaxed

## Properties
total magnetic moment: 0.031 μB per atom
theoretical density: 3.08 g/cm3
polymorph energy (0 for the lowest one): 2269.9 meV per atom
space-group type: P4/mmm (123)
formation energy without anion corrections: 9.8 eV per formula unit

Geometry as POSCAR:
```
CsTiP2S
1.0
-1.716 4.844 1.572
-4.745 -0.920 -2.348
-1.766 -2.044 4.370
P Ti Cs S
2 1 1 1
Direct
0.000 0.500 0.000
0.500 0.000 0.000
0.500 0.500 0.500
0.000 0.000 0.000
0.000 0.000 0.500
```



[17]
Material: CsTiP2S8
Method: DFT, GGA-PBE
State: relaxed

## Properties
total magnetic moment: 0.000 μB per atom
theoretical density: 2.29 g/cm3
polymorph energy (0 for the lowest one): 0.0 meV per atom
space-group type: Cc (9)
formation energy without anion corrections: -8.6 eV per formula unit

Geometry as POSCAR:
```
CsTiP2S8
1.0
7.321 0.000 0.000
-3.660 11.014 -0.124
0.000 -2.776 18.007
Cs Ti S P
4 4 32 8
Direct
0.704 0.804 0.833
0.504 0.515 0.122
0.012 0.515 0.622
0.101 0.804 0.333
0.358 0.001 0.101
0.006 0.289 0.350
0.283 0.289 0.850
0.643 0.001 0.601
0.927 0.182 0.598
0.649 0.066 0.736
0.567 0.503 0.447
0.045 0.170 0.929
0.025 0.351 0.801
0.509 0.670 0.314
0.326 0.351 0.301
0.417 0.066 0.236
0.846 0.879 0.635
0.399 0.513 0.902
0.392 0.796 0.072
0.404 0.796 0.572
0.669 0.983 0.467
0.518 0.329 0.755
0.508 0.279 0.948
0.772 0.279 0.448
0.811 0.329 0.255
0.314 0.983 0.967
0.878 0.083 0.278
0.115 0.513 0.402
0.046 0.590 0.153
0.705 0.096 0.104
0.033 0.879 0.135
0.936 0.503 0.947
0.392 0.096 0.604
0.255 0.182 0.098
0.205 0.083 0.778
0.543 0.590 0.653
0.927 0.672 0.992
0.124 0.170 0.429
0.161 0.670 0.814
0.745 0.672 0.492
0.440 0.143 0.717
0.619 0.725 0.595
0.144 0.525 0.860
0.106 0.725 0.095
0.876 0.153 0.485
0.703 0.143 0.217
0.381 0.525 0.360
0.277 0.153 0.985
```



[18]
Material: CsTiPS2
Method: DFT, GGA-PBE
State: relaxed

## Properties
total magnetic moment: 0.073 μB per atom
theoretical density: 3.03 g/cm3
polymorph energy (0 for the lowest one): 2318.2 meV per atom
space-group type: P4/mmm (123)
formation energy without anion corrections: 8.5 eV per formula unit

Geometry as POSCAR:
```
CsTiPS2
1.0
-0.119 -3.443 -3.905
-3.037 -3.127 2.850
-4.527 2.507 -2.073
Ti S Cs P
1 2 1 1
Direct
0.500 0.500 0.500
0.000 0.500 0.000
0.500 0.000 0.000
0.000 0.000 0.000
0.000 0.000 0.500
```



[19]
Material: CsTlPS2
Method: DFT, GGA-PBE
State: relaxed

## Properties
total magnetic moment: 0.675 μB per atom
theoretical density: 3.43 g/cm3
space-group type: P4/mmm (123)
formation energy without anion corrections: 5.4 eV per formula unit

Geometry as POSCAR:
```
CsTlPS2
1.0
5.955 0.000 0.000
0.000 5.955 0.000
0.000 0.000 5.910
S Tl P Cs
2 1 1 1
Direct
0.500 0.000 0.000
0.000 0.500 0.000
0.500 0.500 0.500
0.000 0.000 0.500
0.000 0.000 0.000
```



[20]
Material: CsTlPS3
Method: DFT, GGA-PBE
State: relaxed

## Properties
total magnetic moment: 0.000 μB per atom
theoretical density: 3.91 g/cm3
space-group type: C2/m (12)
formation energy without anion corrections: -3.6 eV per formula unit

Geometry as POSCAR:
```
CsTlPS3
1.0
0.429 -7.304 1.412
-0.396 -4.001 -6.275
7.596 -4.209 -2.624
S Cs Tl P
6 2 2 2
Direct
0.267 0.865 0.151
0.218 0.218 0.680
0.733 0.135 0.849
0.865 0.267 0.151
0.782 0.782 0.320
0.135 0.733 0.849
0.693 0.693 0.798
0.307 0.307 0.202
0.690 0.310 0.500
0.310 0.690 0.500
0.977 0.977 0.142
0.023 0.023 0.858
```



[21]
Material: CsTl2PS4
Method: DFT, GGA-PBE
State: relaxed

## Properties
total magnetic moment: 0.000 μB per atom
theoretical density: 5.63 g/cm3
space-group type: C2/c (15)
formation energy without anion corrections: -0.9 eV per formula unit

Geometry as POSCAR:
```
CsTl2PS4
1.0
8.380 -0.042 -0.046
-0.048 8.380 -0.046
-4.140 -4.143 5.931
S Tl P Cs
8 4 2 2
Direct
0.684 0.239 0.461
0.733 0.766 0.545
0.734 0.767 0.955
0.261 0.816 0.039
0.266 0.233 0.045
0.739 0.184 0.961
0.316 0.761 0.539
0.267 0.234 0.455
0.500 0.500 0.000
0.500 0.000 0.000
0.000 0.000 0.500
0.500 0.000 0.500
0.500 0.500 0.500
0.000 0.000 0.000
0.000 0.500 0.000
0.000 0.500 0.500
```



[22]
Material: CsTmP2S8
Method: DFT, GGA-PBE
State: relaxed

## Properties
total magnetic moment: 0.171 μB per atom
theoretical density: 3.13 g/cm3
space-group type: P-3 (147)
formation energy without anion corrections: -7.2 eV per formula unit

Geometry as POSCAR:
```
CsTmP2S8
1.0
6.213 0.000 0.000
-3.107 5.381 0.000
0.000 0.000 9.842
S Cs P Tm
8 1 2 1
Direct
0.360 0.997 0.658
0.637 0.640 0.658
0.363 0.360 0.342
0.997 0.637 0.342
0.003 0.363 0.658
0.333 0.667 0.922
0.640 0.003 0.342
0.667 0.333 0.078
0.000 0.000 0.000
0.667 0.333 0.283
0.333 0.667 0.717
0.000 0.000 0.500
```